(1)
## CaGe3P (meta-GGA SCAN)

Data for a PBEsol-optimized structure of CaGe3P.

```
CaGe3P
1.0
5.2004 0.0000 0.0000
0.0000 5.2004 0.0000
0.0000 0.0000 5.2004
Ca Ge P
1 3 1
Direct
0.0000 0.0000 0.0000
0.0000 0.0000 0.5000
0.0000 0.5000 0.0000
0.5000 0.0000 0.0000
0.5000 0.5000 0.5000
```

Output
M_tot: 1.52 μB per cell
DOS at the Fermi energy: 4.209 states/eV/f.u.
Formation energy from the elements: 1.56 eV/atom
E_tot: -1.02235 Ry per atom

(2)
## CrHOsS2 (meta-GGA SCAN)

Data for a PBEsol-optimized structure of CrHOsS2.

```
CrHOsS2
1.0
4.4297 0.0000 0.0000
0.0000 4.4297 0.0000
0.0000 0.0000 3.0716
Cr H Os S
1 1 1 2
Direct
0.0000 0.0000 0.0000
0.0000 0.0000 0.5000
0.5000 0.5000 0.5000
0.0000 0.5000 0.0000
0.5000 0.0000 0.0000
```

Output
M_tot: 2.74 μB per cell
DOS at the Fermi energy: 2.330 states/eV/f.u.
E_tot: -1.62917 Ry per atom

(3)
## YGa2Ni (meta-GGA SCAN)

Data for a PBEsol-optimized structure of YGa2Ni.

```
YGa2Ni
1.0
4.0703 0.0000 0.0000
0.0000 9.9787 0.0000
0.0000 0.0000 6.5639
Y Ga Ni
4 8 4
Direct
0.0000 0.0714 0.2500
0.0000 0.9286 0.7500
0.5000 0.4286 0.7500
0.5000 0.5714 0.2500
0.0000 0.3553 0.0542
0.0000 0.3553 0.4458
0.0000 0.6447 0.5542
0.0000 0.6447 0.9458
0.5000 0.1447 0.5542
0.5000 0.1447 0.9458
0.5000 0.8553 0.0542
0.5000 0.8553 0.4458
0.0000 0.2106 0.7500
0.0000 0.7894 0.2500
0.5000 0.2894 0.2500
0.5000 0.7106 0.7500
```

Output
M_tot: 0.00 μB per cell
DOS at the Fermi energy: 1.585 states/eV/f.u.
Formation energy from the elements: -0.76 eV/atom
E_tot: -1.46542 Ry per atom

(4)
## LiTc2Sb (meta-GGA SCAN)

Data for a PBEsol-optimized structure of LiTc2Sb.

```
LiTc2Sb
1.0
3.2513 0.0000 0.0000
0.0000 4.2841 0.0000
0.0000 0.0000 8.5243
Li Tc Sb
2 4 2
Direct
0.0000 0.0000 0.0000
0.5000 0.5000 0.5000
0.0000 0.5000 0.2526
0.0000 0.5000 0.7474
0.5000 0.0000 0.2474
0.5000 0.0000 0.7526
0.0000 0.0000 0.5000
0.5000 0.5000 0.0000
```

Output
M_tot: 0.00 μB per cell
DOS at the Fermi energy: 2.885 states/eV/f.u.
ΔE_f (raw): 0.18 eV/atom
E_tot: -2.00383 Ry per atom

(5)
## TlRe2Rh (meta-GGA SCAN)

Data for a PBEsol-optimized structure of TlRe2Rh.

```
TlRe2Rh
1.0
2.8163 0.0000 0.0000
-1.4081 2.4389 0.0000
0.0000 0.0000 27.7479
Tl Re Rh
3 6 3
Direct
0.0000 0.0000 0.0000
0.3333 0.6667 0.6667
0.6667 0.3333 0.3333
0.0000 0.0000 0.2431
0.0000 0.0000 0.7569
0.3333 0.6667 0.4236
0.3333 0.6667 0.9098
0.6667 0.3333 0.0902
0.6667 0.3333 0.5764
0.0000 0.0000 0.5000
0.3333 0.6667 0.1667
0.6667 0.3333 0.8333
```

Output
M_tot: 0.00 μB per cell
DOS at the Fermi energy: 2.729 states/eV/f.u.
Energy relative to the lowest polymorph listed for this composition: 297 meV/atom
Formation energy from the elements: 0.65 eV/atom
E_tot: -4.51531 Ry per atom

(6)
## BaCuP (meta-GGA SCAN)

Data for a PBEsol-optimized structure of BaCuP.

```
BaCuP
1.0
5.1947 0.0000 0.0000
-2.5973 4.4987 0.0000
0.0000 0.0000 6.3137
Ba Cu P
2 2 2
Direct
0.3333 0.6667 0.2500
0.6667 0.3333 0.7500
0.0000 0.0000 0.0000
0.0000 0.0000 0.5000
0.3333 0.6667 0.7500
0.6667 0.3333 0.2500
```

Output
M_tot: 0.00 μB per cell
DOS at the Fermi energy: 0.549 states/eV/f.u.
Formation energy from the elements: 0.03 eV/atom
E_tot: -1.59379 Ry per atom

(7)
## Cr2IrAu (meta-GGA SCAN)

Data for a PBEsol-optimized structure of Cr2IrAu.

```
Cr2IrAu
1.0
3.7847 0.0000 0.0000
0.0000 3.7847 0.0000
0.0000 0.0000 7.6536
Cr Ir Au
4 2 2
Direct
0.0000 0.0000 0.0000
0.0000 0.5000 0.2500
0.5000 0.0000 0.7500
0.5000 0.5000 0.5000
0.0000 0.0000 0.5000
0.5000 0.5000 0.0000
0.0000 0.5000 0.7500
0.5000 0.0000 0.2500
```

Output
M_tot: 1.89 μB per cell
DOS at the Fermi energy: 3.903 states/eV/f.u.
Formation energy from the elements: -0.11 eV/atom
E_tot: -3.26079 Ry per atom

(8)
## KCd4P (meta-GGA SCAN)

Data for a PBEsol-optimized structure of KCd4P.

```
KCd4P
1.0
0.0000 4.1302 4.1302
4.1302 0.0000 4.1302
4.1302 4.1302 0.0000
K Cd P
1 4 1
Direct
0.0000 0.0000 0.0000
0.1276 0.6241 0.6241
0.6241 0.1276 0.6241
0.6241 0.6241 0.1276
0.6241 0.6241 0.6241
0.2500 0.2500 0.2500
```

Output
M_tot: 0.00 μB per cell
DOS at the Fermi energy: 3.997 states/eV/f.u.
Formation energy from the elements: 0.21 eV/atom
E_tot: -1.70407 Ry per atom

(9)
## RbIN2F (meta-GGA SCAN)

Data for a PBEsol-optimized structure of RbIN2F.

```
RbIN2F
1.0
6.0276 0.0000 0.0000
0.0000 6.0276 0.0000
0.0000 0.0000 4.8552
Rb I N F
1 1 2 1
Direct
0.0000 0.0000 0.0000
0.5000 0.5000 0.5000
0.0000 0.5000 0.0000
0.5000 0.0000 0.0000
0.0000 0.0000 0.5000
```

Output
M_tot: 7.01 μB per cell
DOS at the Fermi energy: 6.829 states/eV/f.u.
Energy relative to the lowest polymorph listed for this composition: 175 meV/atom
ΔE_f (raw): 1.16 eV/atom
E_tot: -1.08464 Ry per atom

(10)
## CdCoPb2 (meta-GGA SCAN)

Data for a PBEsol-optimized structure of CdCoPb2.

```
CdCoPb2
1.0
3.1175 0.0000 0.0000
0.0000 4.4294 0.0000
0.0000 0.0000 13.1284
Cd Co Pb
2 2 4
Direct
0.0000 0.0000 0.0000
0.5000 0.5000 0.5000
0.0000 0.0000 0.5000
0.5000 0.5000 0.0000
0.0000 0.5000 0.1689
0.0000 0.5000 0.8311
0.5000 0.0000 0.3311
0.5000 0.0000 0.6689
```

Output
M_tot: 2.40 μB per cell
DOS at the Fermi energy: 1.925 states/eV/f.u.
Formation energy from the elements: 0.28 eV/atom
E_tot: -3.64083 Ry per atom

(11)
## In2AuCl (meta-GGA SCAN)

Data for a PBEsol-optimized structure of In2AuCl.

```
In2AuCl
1.0
5.0232 0.0000 0.0000
0.0000 5.0390 0.0000
0.0000 0.0000 7.1204
In Au Cl
4 2 2
Direct
0.0000 0.0000 0.2493
0.0000 0.0000 0.7507
0.5000 0.5000 0.2507
0.5000 0.5000 0.7493
0.0000 0.5000 0.5000
0.5000 0.0000 0.0000
0.0000 0.5000 0.0000
0.5000 0.0000 0.5000
```

Output
M_tot: 0.00 μB per cell
DOS at the Fermi energy: 0.574 states/eV/f.u.
Energy relative to the lowest polymorph listed for this composition: 204 meV/atom
ΔE_f (raw): -0.32 eV/atom
E_tot: -2.66776 Ry per atom

(12)
## TeHWI2 (meta-GGA SCAN)

Data for a PBEsol-optimized structure of TeHWI2.

```
TeHWI2
1.0
5.3267 0.0000 0.0000
0.0000 5.3267 0.0000
0.0000 0.0000 3.6952
Te H W I
1 1 1 2
Direct
0.0000 0.0000 0.0000
0.0000 0.0000 0.5000
0.5000 0.5000 0.0000
0.0000 0.5000 0.5000
0.5000 0.0000 0.5000
```

Output
M_tot: 2.44 μB per cell
DOS at the Fermi energy: 4.073 states/eV/f.u.
E_tot: -2.58917 Ry per atom

(13)
## RbRh2F2 (meta-GGA SCAN)

Data for a PBEsol-optimized structure of RbRh2F2.

```
RbRh2F2
1.0
4.3441 0.0000 0.0000
0.0000 4.3441 0.0000
0.0000 0.0000 9.1390
Rb Rh F
2 4 4
Direct
0.0000 0.0000 0.0000
0.5000 0.5000 0.5000
0.0000 0.0000 0.3732
0.0000 0.0000 0.6268
0.5000 0.5000 0.1268
0.5000 0.5000 0.8732
0.0000 0.5000 0.2500
0.0000 0.5000 0.7500
0.5000 0.0000 0.2500
0.5000 0.0000 0.7500
```

Output
M_tot: 7.33 μB per cell
DOS at the Fermi energy: 4.414 states/eV/f.u.
ΔE_f (raw): -0.42 eV/atom
E_tot: -1.43247 Ry per atom

(14)
## Si2AgOs (meta-GGA SCAN)

Data for a PBEsol-optimized structure of Si2AgOs.

```
Si2AgOs
1.0
3.0425 0.0000 0.0000
0.0000 3.6518 0.0000
0.0000 0.0000 5.0865
Si Ag Os
2 1 1
Direct
0.0000 0.0000 0.0000
0.5000 0.5000 0.3077
0.0000 0.0000 0.5002
0.5000 0.5000 0.8366
```

Output
M_tot: 0.00 μB per cell
DOS at the Fermi energy: 0.916 states/eV/f.u.
Energy relative to the lowest polymorph listed for this composition: 0 meV/atom
ΔE_f (raw): 0.10 eV/atom
E_tot: -2.25755 Ry per atom

(15)
## MnTcSe2 (meta-GGA SCAN)

Data for a PBEsol-optimized structure of MnTcSe2.

```
MnTcSe2
1.0
2.8959 0.0000 0.0000
0.0000 2.8959 0.0000
0.0000 0.0000 7.6492
Mn Tc Se
1 1 2
Direct
0.0000 0.0000 0.0000
0.5000 0.5000 0.7654
0.0000 0.0000 0.5758
0.5000 0.5000 0.1667
```

Output
M_tot: 0.00 μB per cell
DOS at the Fermi energy: 2.401 states/eV/f.u.
ΔE_f (raw): -0.01 eV/atom
E_tot: -1.71817 Ry per atom

(16)
## SiNO2 (meta-GGA SCAN)

Data for a PBEsol-optimized structure of SiNO2.

```
SiNO2
1.0
0.0000 3.7299 3.7299
3.7299 0.0000 3.7299
3.7299 3.7299 0.0000
Si N O
2 2 4
Direct
0.1250 0.1250 0.1250
0.8750 0.8750 0.8750
0.3750 0.3750 0.3750
0.6250 0.6250 0.6250
0.0000 0.0000 0.0000
0.0000 0.0000 0.5000
0.0000 0.5000 0.0000
0.5000 0.0000 0.0000
```

Output
M_tot: 6.03 μB per cell
DOS at the Fermi energy: 0.000 states/eV/f.u.
ΔE_f (raw): -1.11 eV/atom
E_tot: -0.66551 Ry per atom

(17)
## Sn2SO5 (meta-GGA SCAN)

Data for a PBEsol-optimized structure of Sn2SO5.

```
Sn2SO5
1.0
10.9173 0.0000 0.0000
0.0000 10.9173 0.0000
0.0000 0.0000 8.9424
Sn S O
16 8 40
Direct
0.0110 0.1617 0.3637
0.0206 0.2913 0.7407
0.1617 0.9890 0.6363
0.2087 0.4794 0.2407
0.2913 0.9794 0.2593
0.3383 0.4890 0.8637
0.4794 0.7913 0.7593
0.4890 0.6617 0.1363
0.5110 0.3383 0.1363
0.5206 0.2087 0.7593
0.6617 0.5110 0.8637
0.7087 0.0206 0.2593
0.7913 0.5206 0.2407
0.8383 0.0110 0.6363
0.9794 0.7087 0.7407
0.9890 0.8383 0.3637
0.2037 0.7876 0.9942
0.2124 0.2037 0.0058
0.2876 0.7037 0.4942
0.2963 0.2876 0.5058
0.7037 0.7124 0.5058
0.7124 0.2963 0.4942
0.7876 0.7963 0.0058
0.7963 0.2124 0.9942
0.0176 0.1257 0.6127
0.1016 0.8309 0.8980
0.1257 0.9824 0.3873
0.1521 0.7085 0.4956
0.1578 0.3214 0.0555
0.1691 0.1016 0.1020
0.1696 0.1811 0.8477
0.1786 0.3422 0.5555
0.1811 0.8304 0.1523
0.2085 0.6521 0.9956
0.2915 0.1521 0.5044
0.3189 0.3304 0.3477
0.3214 0.8422 0.9445
0.3304 0.6811 0.6523
0.3309 0.6016 0.3980
0.3422 0.8214 0.4445
0.3479 0.2085 0.0044
0.3743 0.4824 0.1127
0.3984 0.3309 0.6020
0.4824 0.6257 0.8873
0.5176 0.3743 0.8873
0.6016 0.6691 0.6020
0.6257 0.5176 0.1127
0.6521 0.7915 0.0044
0.6578 0.1786 0.4445
0.6691 0.3984 0.3980
0.6696 0.3189 0.6523
0.6786 0.1578 0.9445
0.6811 0.6696 0.3477
0.7085 0.8479 0.5044
0.7915 0.3479 0.9956
0.8189 0.1696 0.1523
0.8214 0.6578 0.5555
0.8304 0.8189 0.8477
0.8309 0.8984 0.1020
0.8422 0.6786 0.0555
0.8479 0.2915 0.4956
0.8743 0.0176 0.3873
0.8984 0.1691 0.8980
0.9824 0.8743 0.6127
```

Output
M_tot: 0.00 μB per cell
DOS at the Fermi energy: 0.000 states/eV/f.u.
ΔE_f (raw): -1.49 eV/atom
E_tot: -1.14458 Ry per atom

(18)
## SrZrPb2 (meta-GGA SCAN)

Data for a PBEsol-optimized structure of SrZrPb2.

```
SrZrPb2
1.0
3.3563 0.0000 0.0000
0.0000 5.4055 0.0000
0.0000 0.0000 6.2094
Sr Zr Pb
1 1 2
Direct
0.0000 0.0000 0.0000
0.5000 0.5000 0.5000
0.0000 0.0000 0.5000
0.5000 0.5000 0.0000
```

Output
M_tot: 0.00 μB per cell
DOS at the Fermi energy: 2.854 states/eV/f.u.
Formation energy from the elements: -0.24 eV/atom
E_tot: -3.77586 Ry per atom

(19)
## Sc3TaIn (meta-GGA SCAN)

Data for a PBEsol-optimized structure of Sc3TaIn.

```
Sc3TaIn
1.0
5.1478 0.0000 0.0000
0.0000 5.1478 0.0000
0.0000 0.0000 5.1478
Sc Ta In
3 1 1
Direct
0.0000 0.0000 0.5000
0.0000 0.5000 0.0000
0.5000 0.0000 0.0000
0.5000 0.5000 0.5000
0.0000 0.0000 0.0000
```

Output
M_tot: 3.47 μB per cell
DOS at the Fermi energy: 7.973 states/eV/f.u.
Formation energy from the elements: 1.07 eV/atom
E_tot: -2.01893 Ry per atom

(20)
## MnCdP2 (meta-GGA SCAN)

Data for a PBEsol-optimized structure of MnCdP2.

```
MnCdP2
1.0
4.1231 0.0000 0.0000
0.0000 4.1231 0.0000
0.0000 0.0000 7.2554
Mn Cd P
2 2 4
Direct
0.0000 0.0000 0.0000
0.5000 0.5000 0.5000
0.0000 0.0000 0.5000
0.5000 0.5000 0.0000
0.0000 0.5000 0.2500
0.0000 0.5000 0.7500
0.5000 0.0000 0.2500
0.5000 0.0000 0.7500
```

Output
M_tot: 7.43 μB per cell
DOS at the Fermi energy: 1.722 states/eV/f.u.
Formation energy from the elements: 0.31 eV/atom
E_tot: -1.25332 Ry per atom

(21)
## PtPbOF2 (meta-GGA SCAN)

Data for a PBEsol-optimized structure of PtPbOF2.

```
PtPbOF2
1.0
4.4028 0.0000 0.0000
0.0000 4.4028 0.0000
0.0000 0.0000 4.2396
Pt Pb O F
1 1 1 2
Direct
0.0000 0.0000 0.0000
0.5000 0.5000 0.5000
0.5000 0.5000 0.0000
0.0000 0.5000 0.5000
0.5000 0.0000 0.5000
```

Output
M_tot: 0.92 μB per cell
DOS at the Fermi energy: 1.386 states/eV/f.u.
ΔE_f (raw): -0.33 eV/atom
E_tot: -2.36564 Ry per atom

(22)
## YFe3As (meta-GGA SCAN)

Data for a PBEsol-optimized structure of YFe3As.

```
YFe3As
1.0
4.3967 0.0000 0.0000
0.0000 4.3967 0.0000
0.0000 0.0000 4.3967
Y Fe As
1 3 1
Direct
0.0000 0.0000 0.0000
0.0000 0.5000 0.5000
0.5000 0.0000 0.5000
0.5000 0.5000 0.0000
0.5000 0.5000 0.5000
```

Output
M_tot: 6.39 μB per cell
DOS at the Fermi energy: 4.544 states/eV/f.u.
Formation energy from the elements: 0.16 eV/atom
E_tot: -1.49388 Ry per atom

(23)
## FeNi (meta-GGA SCAN)

Data for a PBEsol-optimized structure of FeNi.

```
FeNi
1.0
9.2347 0.0000 0.0000
0.0000 2.4676 0.0000
-1.5648 0.0000 5.6590
Fe Ni
6 6
Direct
0.0000 0.0000 0.0000
0.0585 0.0000 0.6070
0.1762 0.5000 0.3288
0.5000 0.5000 0.0000
0.5585 0.5000 0.6070
0.6762 0.0000 0.3288
0.2233 0.5000 0.9398
0.3364 0.0000 0.6659
0.3939 0.0000 0.2754
0.7233 0.0000 0.9398
0.8364 0.5000 0.6659
0.8939 0.5000 0.2754
```

Output
M_tot: 20.79 μB per cell
DOS at the Fermi energy: 1.585 states/eV/f.u.
Formation energy from the elements: -0.06 eV/atom
E_tot: -1.26523 Ry per atom

(24)
## Ba2InPb (meta-GGA SCAN)

Data for a PBEsol-optimized structure of Ba2InPb.

```
Ba2InPb
1.0
8.3271 0.0000 0.0000
0.0000 8.3271 0.0000
0.0000 0.0000 8.3271
Ba In Pb
8 4 4
Direct
0.0000 0.0000 0.0000
0.0000 0.5000 0.5000
0.2500 0.2500 0.2500
0.2500 0.7500 0.7500
0.5000 0.0000 0.5000
0.5000 0.5000 0.0000
0.7500 0.2500 0.7500
0.7500 0.7500 0.2500
0.0000 0.0000 0.5000
0.0000 0.5000 0.0000
0.5000 0.0000 0.0000
0.5000 0.5000 0.5000
0.2500 0.2500 0.7500
0.2500 0.7500 0.2500
0.7500 0.2500 0.2500
0.7500 0.7500 0.7500
```

Output
M_tot: 0.00 μB per cell
DOS at the Fermi energy: 3.808 states/eV/f.u.
Energy relative to the lowest polymorph listed for this composition: 382 meV/atom
Formation energy from the elements: -0.33 eV/atom
E_tot: -3.48367 Ry per atom

(25)
## YCoAg2 (meta-GGA SCAN)

Data for a PBEsol-optimized structure of YCoAg2.

```
YCoAg2
1.0
3.1205 0.0000 0.0000
0.0000 4.5288 0.0000
-1.4511 0.0000 4.9848
Y Co Ag
1 1 2
Direct
0.0000 0.0000 0.0000
0.5000 0.0000 0.5000
0.3470 0.5000 0.7234
0.6530 0.5000 0.2766
```

Output
M_tot: 1.27 μB per cell
DOS at the Fermi energy: 2.473 states/eV/f.u.
Formation energy from the elements: 0.12 eV/atom
E_tot: -1.97346 Ry per atom

(26)
## Ba2BeFe (meta-GGA SCAN)

Data for a PBEsol-optimized structure of Ba2BeFe.

```
Ba2BeFe
1.0
8.0955 0.0000 0.0000
0.0000 3.4810 0.0000
-1.2462 0.0000 8.4652
Ba Be Fe
4 2 2
Direct
0.2454 0.0000 0.2577
0.2546 0.5000 0.7423
0.7454 0.5000 0.2577
0.7546 0.0000 0.7423
0.0000 0.5000 0.0000
0.5000 0.0000 0.0000
0.0000 0.0000 0.5000
0.5000 0.5000 0.5000
```

Output
M_tot: 4.24 μB per cell
DOS at the Fermi energy: 3.473 states/eV/f.u.
Formation energy from the elements: 0.96 eV/atom
E_tot: -1.79569 Ry per atom